Entry 1:
This record from the Alexandria database describes a relaxed LiBeNi2C crystal. The functional is GGA-PBE.

Output
The energy of formation comes out at -0.071 eV/atom. As for the total energy: -26.8 eV/f.u. As for the magnetization: 0.5 μB per cell.

Cell: 3.7796 3.7796 3.4472 Å, 90.00 90.00 90.00°
Space group P4/mmm (No. 123)
Inequivalent atoms, fractional coordinates:
Li 0.0000 0.0000 0.0000 [1 per cell]
Be 0.5000 0.5000 0.0000 [1 per cell]
Ni 0.0000 0.5000 0.5000 [2 per cell]
C 0.5000 0.5000 0.5000 [1 per cell]



Entry 2:
This record from the Alexandria database describes a relaxed GaTePdO6 crystal. The functional is GGA-PBE.

Output
As for the uncorrected formation energy: -8.33 eV per formula unit. As for the total energy: -49.4 eV/f.u. As for the magnetization: 1.9 μB per cell.

Cell: 5.1535 5.1535 8.9172 Å, 90.00 90.00 120.00°
Space group P-31c (No. 163)
Inequivalent atoms, fractional coordinates:
Ga 0.3333 0.6667 0.2500 [2 per cell]
Te 0.3333 0.6667 0.7500 [2 per cell]
Pd 0.0000 0.0000 0.0000 [2 per cell]
O 0.0047 0.3550 0.6311 [12 per cell]